(1)
First-principles (GGA-PBE) data for HoMg2Pd3 after structural relaxation, as listed in the Alexandria database. Values from VASP.

Geometry as Quantum ESPRESSO input:
```
&SYSTEM
  ibrav = 0, nat = 6, ntyp = 3
/
ATOMIC_SPECIES
Pd 106.42 Pd.upf
Ho 164.93 Ho.upf
Mg 24.30 Mg.upf
CELL_PARAMETERS angstrom
3.3034 0.0000 0.0000
0.0000 3.3034 0.0000
0.0000 0.0000 9.8670
ATOMIC_POSITIONS crystal
Pd 0.0000 0.0000 0.0000
Pd 0.0000 0.0000 0.3156
Pd 0.0000 0.0000 0.6844
Ho 0.5000 0.5000 0.5000
Mg 0.5000 0.5000 0.1564
Mg 0.5000 0.5000 0.8436
```

Properties
As for the symmetry: P4/mmm, No. 123. As for the total magnetization: 0.00 μB per formula unit. The calculation puts the energy above the lowest structure with this stoichiometry at 0.054 eV per formula unit. The value obtained for the total energy is -4.67 eV per atom. Its density of states at the Fermi level is 0.3370 states/eV per atom. The value obtained for the energy of formation from the pure elements is -4.7 eV/f.u.

=====

(2)
First-principles (GGA-PBE) data for HoMg3Pd2 after structural relaxation, as listed in the Alexandria database. Values from VASP.

Geometry as Quantum ESPRESSO input:
```
&SYSTEM
  ibrav = 0, nat = 12, ntyp = 3
/
ATOMIC_SPECIES
Mg 24.30 Mg.upf
Pd 106.42 Pd.upf
Ho 164.93 Ho.upf
CELL_PARAMETERS angstrom
-1.1923 4.0843 2.5568
-6.8498 -4.7837 4.4341
7.3440 -0.8964 0.0446
ATOMIC_POSITIONS crystal
Mg 0.1942 0.4544 0.3884
Mg 0.5000 0.2500 0.0000
Mg 0.8058 0.5456 0.6116
Mg 0.5000 0.7500 0.0000
Mg 0.8058 0.0456 0.6116
Mg 0.1942 0.9544 0.3884
Pd 0.3374 0.8479 0.6751
Pd 0.6625 0.6521 0.3249
Pd 0.6626 0.1521 0.3249
Pd 0.3375 0.3479 0.6751
Ho 0.0000 0.0000 0.0000
Ho 0.0000 0.5000 0.0000
```

Properties
As for the symmetry: C2/m, No. 12. As for the total magnetization: 0.00 μB per formula unit. The value obtained for the total energy is -3.73 eV per atom. Its density of states at the Fermi level is 0.5155 states/eV per atom. The value obtained for the energy of formation from the pure elements is -2.7 eV/f.u.

=====

(3)
First-principles (GGA-PBE) data for Ho4MgPd5 after structural relaxation, as listed in the Alexandria database. Values from VASP.

Geometry as Quantum ESPRESSO input:
```
&SYSTEM
  ibrav = 0, nat = 10, ntyp = 3
/
ATOMIC_SPECIES
Pd 106.42 Pd.upf
Ho 164.93 Ho.upf
Mg 24.30 Mg.upf
CELL_PARAMETERS angstrom
3.4276 0.0000 0.0000
0.0000 3.4276 0.0000
0.0000 0.0000 17.2909
ATOMIC_POSITIONS crystal
Pd 0.5000 0.5000 0.2923
Pd 0.5000 0.5000 0.5000
Pd 0.5000 0.5000 0.0877
Pd 0.5000 0.5000 0.9123
Pd 0.5000 0.5000 0.7077
Ho 0.0000 0.0000 0.1876
Ho 0.0000 0.0000 0.6040
Ho 0.0000 0.0000 0.3960
Ho 0.0000 0.0000 0.8124
Mg 0.0000 0.0000 0.0000
```

Properties
As for the symmetry: P4/mmm, No. 123. As for the total magnetization: 0.00 μB per formula unit. The value obtained for the total energy is -5.45 eV per atom. Its density of states at the Fermi level is 0.6176 states/eV per atom. The value obtained for the energy of formation from the pure elements is -8.6 eV/f.u.

=====

(4)
First-principles (GGA-PBE) data for Ho4MgPd after structural relaxation, as listed in the Alexandria database. Values from VASP.

Geometry as Quantum ESPRESSO input:
```
&SYSTEM
  ibrav = 0, nat = 24, ntyp = 3
/
ATOMIC_SPECIES
Ho 164.93 Ho.upf
Pd 106.42 Pd.upf
Mg 24.30 Mg.upf
CELL_PARAMETERS angstrom
-0.2486 3.0089 9.2470
6.0158 -3.9296 6.5568
7.3565 5.2427 3.6082
ATOMIC_POSITIONS crystal
Ho 0.1830 0.8170 0.1830
Ho 0.8016 0.3995 0.3995
Ho 0.8170 0.8170 0.1830
Ho 0.9393 0.9393 0.5607
Ho 0.3995 0.8016 0.3995
Ho 0.5607 0.5607 0.9393
Ho 0.9393 0.5607 0.9393
Ho 0.5607 0.9393 0.9393
Ho 0.1830 0.1830 0.8170
Ho 0.8170 0.1830 0.1830
Ho 0.8170 0.1830 0.8170
Ho 0.9393 0.5607 0.5607
Ho 0.3995 0.3995 0.3995
Ho 0.1830 0.8170 0.8170
Ho 0.5607 0.9393 0.5607
Ho 0.3995 0.3995 0.8016
Pd 0.6066 0.6066 0.6066
Pd 0.1803 0.6066 0.6066
Pd 0.6066 0.1803 0.6066
Pd 0.6066 0.6066 0.1803
Mg 0.1698 0.1698 0.4907
Mg 0.4907 0.1698 0.1698
Mg 0.1698 0.4907 0.1698
Mg 0.1698 0.1698 0.1698
```

Properties
As for the symmetry: F-43m, No. 216. As for the total magnetization: 0.00 μB per formula unit. The calculation puts the energy above the lowest structure with this stoichiometry at 0.000 eV per formula unit. The value obtained for the total energy is -4.55 eV per atom. Its density of states at the Fermi level is 1.1315 states/eV per atom. The value obtained for the energy of formation from the pure elements is -2.2 eV/f.u.

=====

(5)
First-principles (GGA-PBE) data for HoMg2Pd2 after structural relaxation, as listed in the Alexandria database. Values from VASP.

Geometry as Quantum ESPRESSO input:
```
&SYSTEM
  ibrav = 0, nat = 5, ntyp = 3
/
ATOMIC_SPECIES
Mg 24.30 Mg.upf
Ho 164.93 Ho.upf
Pd 106.42 Pd.upf
CELL_PARAMETERS angstrom
-0.6165 -3.6984 -3.0008
2.7076 -3.9652 0.0934
-2.3988 -5.1155 2.1360
ATOMIC_POSITIONS crystal
Mg 0.2066 0.7066 0.3550
Mg 0.7934 0.2934 0.6450
Ho 0.0000 0.5000 0.0000
Pd 0.5869 0.0869 0.2236
Pd 0.4131 0.9131 0.7764
```

Properties
As for the symmetry: C2/m, No. 12. As for the total magnetization: 0.00 μB per formula unit. The calculation puts the energy above the lowest structure with this stoichiometry at 0.046 eV per formula unit. The value obtained for the total energy is -4.25 eV per atom. Its density of states at the Fermi level is 0.4488 states/eV per atom. The value obtained for the energy of formation from the pure elements is -3.1 eV/f.u.

=====

(6)
First-principles (GGA-PBE) data for HoMgPd4 after structural relaxation, as listed in the Alexandria database. Values from VASP.

Geometry as Quantum ESPRESSO input:
```
&SYSTEM
  ibrav = 0, nat = 6, ntyp = 3
/
ATOMIC_SPECIES
Ho 164.93 Ho.upf
Mg 24.30 Mg.upf
Pd 106.42 Pd.upf
CELL_PARAMETERS angstrom
-0.8219 -2.7781 -2.6473
-0.5283 -2.6045 2.8972
-7.5486 1.9098 0.3403
ATOMIC_POSITIONS crystal
Ho 0.5013 0.4974 0.9982
Mg 0.0015 0.9968 0.4979
Pd 0.0012 0.4973 0.2614
Pd 0.5013 0.9974 0.7353
Pd 0.0012 0.4974 0.7350
Pd 0.5012 0.9974 0.2610
```

Properties
As for the symmetry: P4/mmm, No. 123. As for the total magnetization: 0.00 μB per formula unit. The value obtained for the total energy is -4.97 eV per atom. Its density of states at the Fermi level is 0.4841 states/eV per atom. The value obtained for the energy of formation from the pure elements is -2.9 eV/f.u.

=====

(7)
First-principles (GGA-PBE) data for Ho4MgPd15 after structural relaxation, as listed in the Alexandria database. Values from VASP.

Geometry as Quantum ESPRESSO input:
```
&SYSTEM
  ibrav = 0, nat = 20, ntyp = 3
/
ATOMIC_SPECIES
Pd 106.42 Pd.upf
Ho 164.93 Ho.upf
Mg 24.30 Mg.upf
CELL_PARAMETERS angstrom
4.0820 0.0000 0.0000
0.0000 4.0820 0.0000
0.0000 0.0000 20.4333
ATOMIC_POSITIONS crystal
Pd 0.5000 0.0000 0.0939
Pd 0.5000 0.0000 0.9061
Pd 0.5000 0.5000 0.0000
Pd 0.0000 0.5000 0.7032
Pd 0.5000 0.5000 0.8044
Pd 0.5000 0.0000 0.7032
Pd 0.5000 0.5000 0.1956
Pd 0.0000 0.5000 0.2968
Pd 0.5000 0.5000 0.3980
Pd 0.0000 0.5000 0.5000
Pd 0.0000 0.5000 0.9061
Pd 0.5000 0.0000 0.2968
Pd 0.5000 0.0000 0.5000
Pd 0.0000 0.5000 0.0939
Pd 0.5000 0.5000 0.6020
Ho 0.0000 0.0000 0.8049
Ho 0.0000 0.0000 0.3986
Ho 0.0000 0.0000 0.6014
Ho 0.0000 0.0000 0.1951
Mg 0.0000 0.0000 0.0000
```

Properties
As for the symmetry: P4/mmm, No. 123. As for the total magnetization: 0.00 μB per formula unit. The value obtained for the total energy is -5.69 eV per atom. Its density of states at the Fermi level is 0.9112 states/eV per atom. The value obtained for the energy of formation from the pure elements is -16.1 eV/f.u.

=====

(8)
First-principles (GGA-PBE) data for Ho3Mg2Pd3 after structural relaxation, as listed in the Alexandria database. Values from VASP.

Geometry as Quantum ESPRESSO input:
```
&SYSTEM
  ibrav = 0, nat = 16, ntyp = 3
/
ATOMIC_SPECIES
Pd 106.42 Pd.upf
Mg 24.30 Mg.upf
Ho 164.93 Ho.upf
CELL_PARAMETERS angstrom
-1.4273 4.7077 -2.9853
-3.0979 -4.7868 -6.0672
-4.9004 2.4819 6.2568
ATOMIC_POSITIONS crystal
Pd 0.7500 0.3964 0.3964
Pd 0.2500 0.6036 0.6036
Pd 0.2500 0.0000 0.3964
Pd 0.2500 0.3964 0.0000
Pd 0.7500 0.6036 0.0000
Pd 0.7500 0.0000 0.6036
Mg 0.0000 0.3333 0.6667
Mg 0.5000 0.6667 0.3333
Mg 0.5000 0.3333 0.6667
Mg 0.0000 0.6667 0.3333
Ho 0.7500 0.2602 0.0000
Ho 0.7500 0.0000 0.2602
Ho 0.2500 0.7398 0.0000
Ho 0.2500 0.0000 0.7398
Ho 0.7500 0.7398 0.7398
Ho 0.2500 0.2602 0.2602
```

Properties
As for the symmetry: P6_3/mcm, No. 193. As for the total magnetization: 0.00 μB per formula unit. The calculation puts the energy above the lowest structure with this stoichiometry at 0.000 eV per formula unit. The value obtained for the total energy is -4.80 eV per atom. Its density of states at the Fermi level is 0.6830 states/eV per atom. The value obtained for the energy of formation from the pure elements is -5.9 eV/f.u.

=====

(9)
First-principles (GGA-PBE) data for HoMg2Pd6 after structural relaxation, as listed in the Alexandria database. Values from VASP.

Geometry as Quantum ESPRESSO input:
```
&SYSTEM
  ibrav = 0, nat = 9, ntyp = 3
/
ATOMIC_SPECIES
Mg 24.30 Mg.upf
Pd 106.42 Pd.upf
Ho 164.93 Ho.upf
CELL_PARAMETERS angstrom
4.6500 0.0000 -0.1960
0.0000 7.6252 0.0000
-2.1426 -3.8126 4.5586
ATOMIC_POSITIONS crystal
Mg 0.3419 0.3416 0.6833
Mg 0.6581 0.6584 0.3167
Pd 0.1751 0.4826 0.3501
Pd 0.1751 0.8675 0.3501
Pd 0.8249 0.5174 0.6499
Pd 0.5000 0.7928 0.0000
Pd 0.8249 0.1325 0.6499
Pd 0.5000 0.2072 0.0000
Ho 0.0000 0.0000 0.0000
```

Properties
As for the symmetry: Immm, No. 71. As for the total magnetization: 0.00 μB per formula unit. The value obtained for the total energy is -4.85 eV per atom. Its density of states at the Fermi level is 0.3149 states/eV per atom. The value obtained for the energy of formation from the pure elements is -4.7 eV/f.u.

=====

(10)
First-principles (GGA-PBE) data for HoMg5Pd2 after structural relaxation, as listed in the Alexandria database. Values from VASP.

Geometry as Quantum ESPRESSO input:
```
&SYSTEM
  ibrav = 0, nat = 8, ntyp = 3
/
ATOMIC_SPECIES
Ho 164.93 Ho.upf
Mg 24.30 Mg.upf
Pd 106.42 Pd.upf
CELL_PARAMETERS angstrom
3.9447 0.0006 0.9471
1.6989 6.4147 1.6088
0.4503 -0.0497 6.8130
ATOMIC_POSITIONS crystal
Ho 0.0000 0.0000 0.0000
Mg 0.6584 0.1552 0.5280
Mg 0.6584 0.5280 0.1552
Mg 0.3416 0.8448 0.4720
Mg 0.3416 0.4720 0.8448
Mg 0.0000 0.5000 0.5000
Pd 0.2763 0.2237 0.2237
Pd 0.7237 0.7763 0.7763
```

Properties
As for the symmetry: Immm, No. 71. As for the total magnetization: 0.00 μB per formula unit. The value obtained for the total energy is -3.30 eV per atom. Its density of states at the Fermi level is 0.4205 states/eV per atom. The value obtained for the energy of formation from the pure elements is -3.5 eV/f.u.